[1]
## Mg2ScTa (GGA-PBE)

Data for crystalline Mg2ScTa at its relaxed geometry.

Cell lengths 2.850, 5.240, 5.577 Å; angles 90.00, 96.16, 90.00 degrees
Fractional coordinates of all 4 atoms:
Mg (0.249, 0.000, 0.239)
Mg (0.751, 0.000, 0.761)
Sc (0.000, 0.500, 0.500)
Ta (0.500, 0.500, 0.000)

Values from the calculation:
DOS(E_F): 1.207 states/eV/atom
Energy above the lowest structure with this stoichiometry: 0.179 eV per atom

***

[2]
## Sb2PtBr (GGA-PBE)

Data for crystalline Sb2PtBr at its relaxed geometry.

Cell lengths 4.920, 3.338, 5.670 Å; angles 90.00, 90.09, 90.00 degrees
Fractional coordinates of all 4 atoms:
Sb (0.000, 0.000, 0.000)
Sb (0.500, 0.500, 0.500)
Pt (0.000, 0.000, 0.500)
Br (0.500, 0.500, 0.000)

Values from the calculation:
DOS(E_F): 0.374 states/eV/atom
Energy above the lowest structure with this stoichiometry: 0.443 eV per atom

***

[3]
## ErSn2 (GGA-PBE)

Data for crystalline ErSn2 at its relaxed geometry.

Cell lengths 6.150, 6.150, 6.150 Å; angles 60.00, 60.00, 60.00 degrees
Fractional coordinates of all 6 atoms:
Er (0.125, 0.125, 0.125)
Er (0.875, 0.875, 0.875)
Sn (0.000, 0.500, 0.500)
Sn (0.500, 0.000, 0.500)
Sn (0.500, 0.500, 0.000)
Sn (0.500, 0.500, 0.500)

Values from the calculation:
VASP energy: -4.37 eV per atom
DOS(E_F): 1.125 states/eV/atom

***

[4]
## KNa2IrO4 (GGA-PBE)

Data for crystalline KNa2IrO4 at its relaxed geometry.

Cell lengths 5.511, 5.511, 5.511 Å; angles 114.82, 114.82, 99.24 degrees
Fractional coordinates of all 8 atoms:
K (0.000, 0.000, 0.000)
Na (0.250, 0.750, 0.500)
Na (0.500, 0.500, 0.000)
Ir (0.750, 0.250, 0.500)
O (0.012, 0.468, 0.943)
O (0.525, 0.069, 0.057)
O (0.532, 0.475, 0.544)
O (0.931, 0.988, 0.456)

Values from the calculation:
VASP energy: -5.24 eV per atom
DOS(E_F): 0.582 states/eV/atom

***

[5]
## LiScRe2 (GGA-PBE)

Data for crystalline LiScRe2 at its relaxed geometry.

Cell lengths 5.310, 5.310, 4.233 Å; angles 113.39, 113.39, 35.22 degrees
Fractional coordinates of all 4 atoms:
Li (0.000, 0.000, 0.000)
Sc (0.500, 0.500, 0.500)
Re (0.252, 0.252, 0.752)
Re (0.748, 0.748, 0.248)

Values from the calculation:
DOS(E_F): 0.567 states/eV/atom
Energy above the lowest structure with this stoichiometry: 0.135 eV per atom

***

[6]
## SrSc3O (GGA-PBE)

Data for crystalline SrSc3O at its relaxed geometry.

Cell lengths 5.183, 5.183, 5.183 Å; angles 90.00, 90.00, 90.00 degrees
Fractional coordinates of all 5 atoms:
Sr (0.000, 0.000, 0.000)
Sc (0.000, 0.000, 0.500)
Sc (0.000, 0.500, 0.000)
Sc (0.500, 0.000, 0.000)
O (0.500, 0.500, 0.500)

Values from the calculation:
DOS(E_F): 1.193 states/eV/atom
Energy above the lowest structure with this stoichiometry: 2.479 eV per atom

***

[7]
## TaMo (GGA-PBE)

Data for crystalline TaMo at its relaxed geometry.

Cell lengths 7.856, 7.856, 7.856 Å; angles 34.03, 34.03, 34.03 degrees
Fractional coordinates of all 8 atoms:
Ta (0.000, 0.000, 0.000)
Ta (0.128, 0.128, 0.128)
Ta (0.503, 0.503, 0.503)
Ta (0.749, 0.749, 0.749)
Mo (0.253, 0.253, 0.253)
Mo (0.376, 0.376, 0.376)
Mo (0.625, 0.625, 0.625)
Mo (0.877, 0.877, 0.877)

Values from the calculation:
VASP energy: -11.47 eV per atom
DOS(E_F): 0.920 states/eV/atom

***

[8]
## PrGeBiO5 (GGA-PBE)

Data for crystalline PrGeBiO5 at its relaxed geometry.

Cell lengths 6.009, 6.009, 7.855 Å; angles 98.66, 98.66, 111.09 degrees
Fractional coordinates of all 16 atoms:
Pr (0.000, 0.000, 0.000)
Pr (0.000, 0.000, 0.500)
Ge (0.314, 0.686, 0.750)
Ge (0.686, 0.314, 0.250)
Bi (0.339, 0.661, 0.250)
Bi (0.661, 0.339, 0.750)
O (0.047, 0.656, 0.838)
O (0.126, 0.874, 0.250)
O (0.271, 0.442, 0.573)
O (0.344, 0.953, 0.662)
O (0.442, 0.271, 0.073)
O (0.558, 0.729, 0.927)
O (0.656, 0.047, 0.338)
O (0.729, 0.558, 0.427)
O (0.874, 0.126, 0.750)
O (0.953, 0.344, 0.162)

Values from the calculation:
VASP energy: -6.75 eV per atom
DOS(E_F): 0.000 states/eV/atom

***

[9]
## TbPm5Sm2 (GGA-PBE)

Data for crystalline TbPm5Sm2 at its relaxed geometry.

Cell lengths 7.273, 14.550, 5.128 Å; angles 90.00, 90.00, 90.00 degrees
Fractional coordinates of all 16 atoms:
Tb (0.000, 0.000, 0.000)
Tb (0.500, 0.500, 0.000)
Pm (0.000, 0.249, 0.000)
Pm (0.000, 0.500, 0.000)
Pm (0.000, 0.751, 0.000)
Pm (0.250, 0.125, 0.500)
Pm (0.250, 0.625, 0.500)
Pm (0.500, 0.000, 0.000)
Pm (0.500, 0.251, 0.000)
Pm (0.500, 0.749, 0.000)
Pm (0.750, 0.375, 0.500)
Pm (0.750, 0.875, 0.500)
Sm (0.249, 0.876, 0.500)
Sm (0.251, 0.376, 0.500)
Sm (0.749, 0.624, 0.500)
Sm (0.751, 0.124, 0.500)

Values from the calculation:
DOS(E_F): 1.509 states/eV/atom
Energy above the lowest structure with this stoichiometry: 0.000 eV per atom

***

[10]
## CrInRu2 (GGA-PBE)

Data for crystalline CrInRu2 at its relaxed geometry.

Cell lengths 8.984, 8.984, 8.984 Å; angles 17.99, 17.99, 17.99 degrees
Fractional coordinates of all 4 atoms:
Cr (0.000, 0.000, 0.000)
In (0.245, 0.245, 0.245)
Ru (0.489, 0.489, 0.489)
Ru (0.741, 0.741, 0.741)

Values from the calculation:
VASP energy: -7.33 eV per atom
DOS(E_F): 0.821 states/eV/atom

***

[11]
## PmMgMnGe2 (GGA-PBE)

Data for crystalline PmMgMnGe2 at its relaxed geometry.

Cell lengths 6.374, 6.374, 6.374 Å; angles 141.73, 141.73, 55.24 degrees
Fractional coordinates of all 5 atoms:
Pm (0.000, 0.000, 0.000)
Mg (0.250, 0.750, 0.500)
Mn (0.750, 0.250, 0.500)
Ge (0.388, 0.388, 0.000)
Ge (0.612, 0.612, 0.000)

Values from the calculation:
VASP energy: -5.41 eV per atom
DOS(E_F): 0.437 states/eV/atom

***

[12]
## NaZnSiO4 (GGA-PBE)

Data for crystalline NaZnSiO4 at its relaxed geometry.

Cell lengths 5.209, 7.461, 9.529 Å; angles 90.00, 90.00, 90.00 degrees
Fractional coordinates of all 28 atoms:
Na (0.019, 0.205, 0.351)
Na (0.481, 0.795, 0.851)
Na (0.519, 0.295, 0.649)
Na (0.981, 0.705, 0.149)
Zn (0.029, 0.102, 0.998)
Zn (0.471, 0.898, 0.498)
Zn (0.529, 0.398, 0.002)
Zn (0.971, 0.602, 0.502)
Si (0.019, 0.486, 0.833)
Si (0.481, 0.514, 0.333)
Si (0.519, 0.014, 0.167)
Si (0.981, 0.986, 0.667)
O (0.085, 0.959, 0.830)
O (0.108, 0.172, 0.602)
O (0.122, 0.831, 0.569)
O (0.169, 0.519, 0.341)
O (0.331, 0.481, 0.841)
O (0.378, 0.169, 0.069)
O (0.392, 0.828, 0.102)
O (0.415, 0.041, 0.330)
O (0.585, 0.541, 0.170)
O (0.608, 0.328, 0.398)
O (0.622, 0.669, 0.431)
O (0.669, 0.981, 0.659)
O (0.831, 0.019, 0.159)
O (0.878, 0.331, 0.931)
O (0.892, 0.672, 0.898)
O (0.915, 0.459, 0.670)

Values from the calculation:
Energy above the lowest structure with this stoichiometry: 0.000 eV per atom

***

What did the third record say?
## ErSn2 (GGA-PBE)

Data for crystalline ErSn2 at its relaxed geometry.

Cell lengths 6.150, 6.150, 6.150 Å; angles 60.00, 60.00, 60.00 degrees
Fractional coordinates of all 6 atoms:
Er (0.125, 0.125, 0.125)
Er (0.875, 0.875, 0.875)
Sn (0.000, 0.500, 0.500)
Sn (0.500, 0.000, 0.500)
Sn (0.500, 0.500, 0.000)
Sn (0.500, 0.500, 0.500)

Values from the calculation:
VASP energy: -4.37 eV per atom
DOS(E_F): 1.125 states/eV/atom